Entry 1:
Compound: AlP2Br
Source: Alexandria
Functional: PBE
Structure: optimized geometry

Unit cell a=3.302 b=7.338 c=8.448 alpha=90.00 beta=90.00 gamma=90.00
Space group Imm2 (No. 44)
Symmetry-distinct sites (fractional):
Al 0.000 0.000 0.000 [2 per cell]
P 0.000 0.000 0.399 [2 per cell]
P 0.000 0.500 0.728 [2 per cell]
Br 0.000 0.500 0.281 [2 per cell]

Summary:
DOS(E_F) (states/eV per cell): 4.467
Excess energy over the best structure of this formula in the dataset (kJ/mol of formula units): 97
Size of the total moment (Bohr magnetons per cell): 0.0
Theoretical density (kg/m3): 2739
Raw formation energy (eV/atom): 0.105
Calculated total energy (eV per atom): -3.9541

---

Entry 2:
Compound: AlP2Br
Source: Alexandria
Functional: PBE
Structure: optimized geometry

Unit cell a=3.563 b=3.661 c=6.271 alpha=90.00 beta=90.00 gamma=90.00
Space group Pmmm (No. 47)
Symmetry-distinct sites (fractional):
Al 0.000 0.000 0.000 [1 per cell]
P 0.000 0.500 0.500 [1 per cell]
P 0.500 0.000 0.500 [1 per cell]
Br 0.500 0.500 0.000 [1 per cell]

Summary:
DOS(E_F) (states/eV per cell): 1.648
Excess energy over the best structure of this formula in the dataset (kJ/mol of formula units): 240
Size of the total moment (Bohr magnetons per cell): 0.0
Theoretical density (kg/m3): 3427
Raw formation energy (eV/atom): 0.475
Calculated total energy (eV per atom): -3.5835

---

Entry 3:
Compound: AlPBr2
Source: Alexandria
Functional: PBE
Structure: optimized geometry

Unit cell a=3.511 b=5.172 c=13.802 alpha=90.00 beta=90.00 gamma=90.00
Space group Imm2 (No. 44)
Symmetry-distinct sites (fractional):
Al 0.000 0.000 0.000 [2 per cell]
P 0.000 0.500 0.383 [2 per cell]
Br 0.000 0.000 0.430 [2 per cell]
Br 0.000 0.500 0.636 [2 per cell]

Summary:
DOS(E_F) (states/eV per cell): 1.517
Excess energy over the best structure of this formula in the dataset (kJ/mol of formula units): 145
Size of the total moment (Bohr magnetons per cell): 0.0
Theoretical density (kg/m3): 2885
Raw formation energy (eV/atom): -0.217
Calculated total energy (eV per atom): -3.3420

---

Entry 4:
Compound: AlP2Br
Source: Alexandria
Functional: PBE
Structure: optimized geometry

Unit cell a=5.327 b=5.327 c=13.902 alpha=90.00 beta=90.00 gamma=90.00
Space group I-42d (No. 122)
Symmetry-distinct sites (fractional):
Al 0.000 0.000 0.000 [4 per cell]
P 0.160 0.250 0.125 [8 per cell]
Br 0.000 0.000 0.500 [4 per cell]

Summary:
DOS(E_F) (states/eV per cell): 12.146
Excess energy over the best structure of this formula in the dataset (kJ/mol of formula units): 224
Size of the total moment (Bohr magnetons per cell): 0.0
Theoretical density (kg/m3): 2842
Raw formation energy (eV/atom): 0.434
Calculated total energy (eV per atom): -3.6244